Below is crystalline TaFePF2 at its relaxed geometry, with properties calculated at the GGA+U level.

Summary:
The calculation puts the total energy at -6.071 eV per atom. Its crystal system is tetragonal. Its symmetry is P4/mmm.

a b c (Å): 3.735 3.735 6.186
angles (deg): 90.00 90.00 90.00
Element x y z (fractional)
Ta (0.000, 0.000, 0.000)
Fe (0.500, 0.500, 0.500)
P (0.500, 0.500, 0.000)
F (0.000, 0.500, 0.500)
F (0.500, 0.000, 0.500)